## w
Density functional theory data (PBE) for crystalline SmTmCu2 at its relaxed geometry.

CIF file:
```
data_SmTmCu2
_cell_length_a 3.461
_cell_length_b 3.461
_cell_length_c 7.023
_cell_angle_alpha 90.00
_cell_angle_beta 90.00
_cell_angle_gamma 90.00
_symmetry_space_group_name_H-M 'P 1'
_symmetry_Int_Tables_number 1
_symmetry_space_group_name_Hall 'P 1'
loop_
_atom_site_label
_atom_site_type_symbol
_atom_site_fract_x
_atom_site_fract_y
_atom_site_fract_z
Tm1 Tm 0.500 0.500 0.000
Cu1 Cu 0.000 0.000 0.771
Cu2 Cu 0.000 0.000 0.229
Sm1 Sm 0.500 0.500 0.500
```

Computed properties:
Space group = P4/mmm, No. 123

## x
Density functional theory data (PBE) for crystalline SmTmCu2 at its relaxed geometry.

CIF file:
```
data_SmTmCu2
_cell_length_a 4.930
_cell_length_b 4.930
_cell_length_c 4.930
_cell_angle_alpha 60.00
_cell_angle_beta 60.00
_cell_angle_gamma 60.00
_symmetry_space_group_name_H-M 'P 1'
_symmetry_Int_Tables_number 1
_symmetry_space_group_name_Hall 'P 1'
loop_
_atom_site_label
_atom_site_type_symbol
_atom_site_fract_x
_atom_site_fract_y
_atom_site_fract_z
Tm1 Tm 0.000 0.000 0.000
Cu1 Cu 0.250 0.250 0.250
Cu2 Cu 0.750 0.750 0.750
Sm1 Sm 0.500 0.500 0.500
```

Computed properties:
Space group = Fm-3m, No. 225

Most stable: w (next structure +0.013 eV/atom)

## w
Density functional theory data (PBE) for crystalline SmTmZnCu at its relaxed geometry.

CIF file:
```
data_SmTmZnCu
_cell_length_a 3.519
_cell_length_b 3.519
_cell_length_c 7.116
_cell_angle_alpha 90.00
_cell_angle_beta 90.00
_cell_angle_gamma 90.00
_symmetry_space_group_name_H-M 'P 1'
_symmetry_Int_Tables_number 1
_symmetry_space_group_name_Hall 'P 1'
loop_
_atom_site_label
_atom_site_type_symbol
_atom_site_fract_x
_atom_site_fract_y
_atom_site_fract_z
Sm1 Sm 0.500 0.500 0.111
Tm1 Tm 0.500 0.500 0.598
Zn1 Zn 0.000 0.000 0.841
Cu1 Cu 0.000 0.000 0.378
```

Computed properties:
Space group = P4mm, No. 99

## x
Density functional theory data (PBE) for crystalline SmTmZnCu at its relaxed geometry.

CIF file:
```
data_SmTmZnCu
_cell_length_a 4.997
_cell_length_b 4.997
_cell_length_c 4.997
_cell_angle_alpha 60.00
_cell_angle_beta 60.00
_cell_angle_gamma 60.00
_symmetry_space_group_name_H-M 'P 1'
_symmetry_Int_Tables_number 1
_symmetry_space_group_name_Hall 'P 1'
loop_
_atom_site_label
_atom_site_type_symbol
_atom_site_fract_x
_atom_site_fract_y
_atom_site_fract_z
Zn1 Zn 0.750 0.750 0.750
Tm1 Tm 0.000 0.000 0.000
Cu1 Cu 0.250 0.250 0.250
Sm1 Sm 0.500 0.500 0.500
```

Computed properties:
Space group = F-43m, No. 216

Most stable: w (next structure +0.008 eV/atom)

## w
Density functional theory data (PBE) for crystalline SmYCu at its relaxed geometry.

CIF file:
```
data_SmYCu
_cell_length_a 3.639
_cell_length_b 3.639
_cell_length_c 7.077
_cell_angle_alpha 90.00
_cell_angle_beta 90.00
_cell_angle_gamma 120.00
_symmetry_space_group_name_H-M 'P 1'
_symmetry_Int_Tables_number 1
_symmetry_space_group_name_Hall 'P 1'
loop_
_atom_site_label
_atom_site_type_symbol
_atom_site_fract_x
_atom_site_fract_y
_atom_site_fract_z
Y1 Y 0.333 0.667 0.618
Cu1 Cu 0.667 0.333 0.338
Sm1 Sm 0.000 0.000 0.044
```

Computed properties:
Space group = P3m1, No. 156

## x
Density functional theory data (PBE) for crystalline SmYCu at its relaxed geometry.

CIF file:
```
data_SmYCu
_cell_length_a 3.519
_cell_length_b 3.519
_cell_length_c 6.742
_cell_angle_alpha 105.12
_cell_angle_beta 105.12
_cell_angle_gamma 90.00
_symmetry_space_group_name_H-M 'P 1'
_symmetry_Int_Tables_number 1
_symmetry_space_group_name_Hall 'P 1'
loop_
_atom_site_label
_atom_site_type_symbol
_atom_site_fract_x
_atom_site_fract_y
_atom_site_fract_z
Y1 Y 0.030 0.030 0.061
Sm1 Sm 0.307 0.307 0.615
Cu1 Cu 0.662 0.662 0.325
```

Computed properties:
Space group = I4mm, No. 107

Most stable: x (next structure +0.157 eV/atom)

## w
Density functional theory data (PBE) for crystalline SmYCu2 at its relaxed geometry.

CIF file:
```
data_SmYCu2
_cell_length_a 3.506
_cell_length_b 3.506
_cell_length_c 7.051
_cell_angle_alpha 90.00
_cell_angle_beta 90.00
_cell_angle_gamma 90.00
_symmetry_space_group_name_H-M 'P 1'
_symmetry_Int_Tables_number 1
_symmetry_space_group_name_Hall 'P 1'
loop_
_atom_site_label
_atom_site_type_symbol
_atom_site_fract_x
_atom_site_fract_y
_atom_site_fract_z
Y1 Y 0.500 0.500 0.000
Cu1 Cu 0.000 0.000 0.759
Cu2 Cu 0.000 0.000 0.241
Sm1 Sm 0.500 0.500 0.500
```

Computed properties:
Space group = P4/mmm, No. 123

## x
Density functional theory data (PBE) for crystalline SmYCu2 at its relaxed geometry.

CIF file:
```
data_SmYCu2
_cell_length_a 4.974
_cell_length_b 4.974
_cell_length_c 4.974
_cell_angle_alpha 60.00
_cell_angle_beta 60.00
_cell_angle_gamma 60.00
_symmetry_space_group_name_H-M 'P 1'
_symmetry_Int_Tables_number 1
_symmetry_space_group_name_Hall 'P 1'
loop_
_atom_site_label
_atom_site_type_symbol
_atom_site_fract_x
_atom_site_fract_y
_atom_site_fract_z
Y1 Y 0.500 0.500 0.500
Cu1 Cu 0.250 0.250 0.250
Cu2 Cu 0.750 0.750 0.750
Sm1 Sm 0.000 0.000 0.000
```

Computed properties:
Space group = Fm-3m, No. 225

## y
Density functional theory data (PBE) for crystalline SmYCu2 at its relaxed geometry.

CIF file:
```
data_SmYCu2
_cell_length_a 3.821
_cell_length_b 4.494
_cell_length_c 5.569
_cell_angle_alpha 90.00
_cell_angle_beta 110.58
_cell_angle_gamma 90.00
_symmetry_space_group_name_H-M 'P 1'
_symmetry_Int_Tables_number 1
_symmetry_space_group_name_Hall 'P 1'
loop_
_atom_site_label
_atom_site_type_symbol
_atom_site_fract_x
_atom_site_fract_y
_atom_site_fract_z
Sm1 Sm 0.725 0.000 0.988
Y1 Y 0.442 0.500 0.424
Cu1 Cu 0.153 0.500 0.842
Cu2 Cu 0.011 0.000 0.564
```

Computed properties:
Space group = Pm, No. 6

Most stable: y (next structure +0.014 eV/atom)

## w
Density functional theory data (PBE) for crystalline SmY3Cu2 at its relaxed geometry.

CIF file:
```
data_SmY3Cu2
_cell_length_a 3.505
_cell_length_b 3.505
_cell_length_c 12.224
_cell_angle_alpha 90.00
_cell_angle_beta 90.00
_cell_angle_gamma 90.00
_symmetry_space_group_name_H-M 'P 1'
_symmetry_Int_Tables_number 1
_symmetry_space_group_name_Hall 'P 1'
loop_
_atom_site_label
_atom_site_type_symbol
_atom_site_fract_x
_atom_site_fract_y
_atom_site_fract_z
Sm1 Sm 0.500 0.500 0.500
Y1 Y 0.000 0.000 0.000
Y2 Y 0.000 0.000 0.719
Y3 Y 0.000 0.000 0.281
Cu1 Cu 0.500 0.500 0.857
Cu2 Cu 0.500 0.500 0.143
```

Computed properties:
Space group = P4/mmm, No. 123

## x
Density functional theory data (PBE) for crystalline SmY3Cu2 at its relaxed geometry.

CIF file:
```
data_SmY3Cu2
_cell_length_a 6.846
_cell_length_b 7.236
_cell_length_c 8.397
_cell_angle_alpha 115.52
_cell_angle_beta 114.06
_cell_angle_gamma 90.00
_symmetry_space_group_name_H-M 'P 1'
_symmetry_Int_Tables_number 1
_symmetry_space_group_name_Hall 'P 1'
loop_
_atom_site_label
_atom_site_type_symbol
_atom_site_fract_x
_atom_site_fract_y
_atom_site_fract_z
Sm1 Sm 0.000 0.500 0.000
Sm2 Sm 0.000 0.000 0.000
Y1 Y 0.500 0.250 0.000
Y2 Y 0.500 0.750 0.000
Y3 Y 0.764 0.014 0.528
Y4 Y 0.236 0.486 0.472
Y5 Y 0.236 0.986 0.472
Y6 Y 0.764 0.514 0.528
Cu1 Cu 0.567 0.358 0.716
Cu2 Cu 0.851 0.142 0.284
Cu3 Cu 0.149 0.858 0.716
Cu4 Cu 0.433 0.642 0.284
```

Computed properties:
Space group = Ibam, No. 72

Most stable: w (next structure +0.171 eV/atom)

## w
Density functional theory data (PBE) for crystalline Sm3ZnCu2 at its relaxed geometry.

CIF file:
```
data_Sm3ZnCu2
_cell_length_a 5.059
_cell_length_b 5.059
_cell_length_c 12.431
_cell_angle_alpha 90.00
_cell_angle_beta 90.00
_cell_angle_gamma 120.00
_symmetry_space_group_name_H-M 'P 1'
_symmetry_Int_Tables_number 1
_symmetry_space_group_name_Hall 'P 1'
loop_
_atom_site_label
_atom_site_type_symbol
_atom_site_fract_x
_atom_site_fract_y
_atom_site_fract_z
Sm1 Sm 0.333 0.667 0.418
Sm2 Sm 0.667 0.333 0.079
Sm3 Sm 0.000 0.000 0.755
Sm4 Sm 0.000 0.000 0.245
Sm5 Sm 0.333 0.667 0.921
Sm6 Sm 0.667 0.333 0.582
Zn1 Zn 0.333 0.667 0.670
Zn2 Zn 0.667 0.333 0.330
Cu1 Cu 0.000 0.000 0.500
Cu2 Cu 0.333 0.667 0.173
Cu3 Cu 0.667 0.333 0.827
Cu4 Cu 0.000 0.000 0.000
```

Computed properties:
Space group = P-3m1, No. 164

## x
Density functional theory data (PBE) for crystalline Sm3ZnCu2 at its relaxed geometry.

CIF file:
```
data_Sm3ZnCu2
_cell_length_a 3.583
_cell_length_b 3.583
_cell_length_c 10.708
_cell_angle_alpha 90.00
_cell_angle_beta 90.00
_cell_angle_gamma 90.00
_symmetry_space_group_name_H-M 'P 1'
_symmetry_Int_Tables_number 1
_symmetry_space_group_name_Hall 'P 1'
loop_
_atom_site_label
_atom_site_type_symbol
_atom_site_fract_x
_atom_site_fract_y
_atom_site_fract_z
Sm1 Sm 0.000 0.000 0.000
Sm2 Sm 0.000 0.000 0.671
Sm3 Sm 0.000 0.000 0.329
Zn1 Zn 0.500 0.500 0.500
Cu1 Cu 0.500 0.500 0.834
Cu2 Cu 0.500 0.500 0.166
```

Computed properties:
Space group = P4/mmm, No. 123

Most stable: x (next structure +0.007 eV/atom)